(1)
Entry from Alexandria: an optimized crystal structure of ZrAgW2 (PBE-GGA).

- energy relative to the lowest polymorph listed for this composition (meV per atom) = 165
- D(E_F) (states/eV per atom) = 0.5466
- energy relative to the elements (meV/atom) = 382

Structure (CIF):
```
data_ZrAgW2
_cell_length_a 5.635
_cell_length_b 9.790
_cell_length_c 2.751
_cell_angle_alpha 90.00
_cell_angle_beta 111.25
_cell_angle_gamma 90.00
_symmetry_space_group_name_H-M 'C 1 2/m 1'
_symmetry_Int_Tables_number 12
_symmetry_space_group_name_Hall '-C 2y'
loop_
_atom_site_label
_atom_site_type_symbol
_atom_site_fract_x
_atom_site_fract_y
_atom_site_fract_z
Zr1 Zr 0.000 0.000 0.000
Ag1 Ag 0.000 0.500 0.000
W1 W 0.250 0.250 0.500
```



(2)
Entry from Alexandria: an optimized crystal structure of ZrAgW2 (PBE-GGA).

- energy relative to the lowest polymorph listed for this composition (meV per atom) = 93
- D(E_F) (states/eV per atom) = 0.6989
- energy relative to the elements (meV/atom) = 310

Structure (CIF):
```
data_ZrAgW2
_cell_length_a 2.792
_cell_length_b 4.427
_cell_length_c 5.945
_cell_angle_alpha 90.00
_cell_angle_beta 101.10
_cell_angle_gamma 90.00
_symmetry_space_group_name_H-M 'P 1 m 1'
_symmetry_Int_Tables_number 6
_symmetry_space_group_name_Hall 'P -2y'
loop_
_atom_site_label
_atom_site_type_symbol
_atom_site_fract_x
_atom_site_fract_y
_atom_site_fract_z
Zr1 Zr 0.000 0.000 0.000
Ag1 Ag 0.581 0.500 0.258
W1 W 0.144 0.000 0.531
W2 W 0.518 0.500 0.732
```



(3)
Entry from Alexandria: an optimized crystal structure of Zr4AgW (PBE-GGA).

- D(E_F) (states/eV per atom) = 1.8305
- energy relative to the elements (meV/atom) = 670

Structure (CIF):
```
data_Zr4AgW
_cell_length_a 7.969
_cell_length_b 7.969
_cell_length_c 7.969
_cell_angle_alpha 90.00
_cell_angle_beta 90.00
_cell_angle_gamma 90.00
_symmetry_space_group_name_H-M 'F -4 3 m'
_symmetry_Int_Tables_number 216
_symmetry_space_group_name_Hall 'F -4 2 3'
loop_
_atom_site_label
_atom_site_type_symbol
_atom_site_fract_x
_atom_site_fract_y
_atom_site_fract_z
Zr1 Zr 0.123 0.123 0.377
Ag1 Ag 0.000 0.000 0.000
W1 W 0.250 0.250 0.750
```



(4)
Entry from Alexandria: an optimized crystal structure of ZrAgW2 (PBE-GGA).

- energy relative to the lowest polymorph listed for this composition (meV per atom) = 564
- D(E_F) (states/eV per atom) = 1.4774
- energy relative to the elements (meV/atom) = 781

Structure (CIF):
```
data_ZrAgW2
_cell_length_a 6.572
_cell_length_b 6.572
_cell_length_c 6.572
_cell_angle_alpha 90.00
_cell_angle_beta 90.00
_cell_angle_gamma 90.00
_symmetry_space_group_name_H-M 'F m -3 m'
_symmetry_Int_Tables_number 225
_symmetry_space_group_name_Hall '-F 4 2 3'
loop_
_atom_site_label
_atom_site_type_symbol
_atom_site_fract_x
_atom_site_fract_y
_atom_site_fract_z
Zr1 Zr 0.000 0.000 0.000
Ag1 Ag 0.000 0.000 0.500
W1 W 0.250 0.250 0.250
```



(5)
Entry from Alexandria: an optimized crystal structure of ZrAgW (PBE-GGA).

- energy relative to the lowest polymorph listed for this composition (meV per atom) = 151
- D(E_F) (states/eV per atom) = 0.8655
- energy relative to the elements (meV/atom) = 424

Structure (CIF):
```
data_ZrAgW
_cell_length_a 4.9378
_cell_length_b 4.9378
_cell_length_c 2.6539
_cell_angle_alpha 90.00
_cell_angle_beta 90.00
_cell_angle_gamma 120.00
_symmetry_space_group_name_H-M 'P -6 m 2'
_symmetry_Int_Tables_number 187
_symmetry_space_group_name_Hall 'P -6 2'
loop_
_atom_site_label
_atom_site_type_symbol
_atom_site_fract_x
_atom_site_fract_y
_atom_site_fract_z
Zr1 Zr 0.0000 0.0000 0.0000
Ag1 Ag 0.6667 0.3333 0.5000
W1 W 0.3333 0.6667 0.5000
```



(6)
Entry from Alexandria: an optimized crystal structure of Y2Ag (PBE-GGA).

- D(E_F) (states/eV per atom) = 1.1325
- energy relative to the elements (meV/atom) = 491

Structure (CIF):
```
data_Y2Ag
_cell_length_a 6.2106
_cell_length_b 6.2106
_cell_length_c 10.6129
_cell_angle_alpha 90.00
_cell_angle_beta 90.00
_cell_angle_gamma 120.00
_symmetry_space_group_name_H-M 'P 63/m m c'
_symmetry_Int_Tables_number 194
_symmetry_space_group_name_Hall '-P 6c 2c'
loop_
_atom_site_label
_atom_site_type_symbol
_atom_site_fract_x
_atom_site_fract_y
_atom_site_fract_z
Y1 Y 0.0000 0.0000 0.0000
Y2 Y 0.1692 0.3384 0.2500
Ag1 Ag 0.3333 0.6667 0.6041
```



(7)
Entry from Alexandria: an optimized crystal structure of Y2Ag3 (PBE-GGA).

- energy relative to the lowest polymorph listed for this composition (meV per atom) = 0
- D(E_F) (states/eV per atom) = 0.5697
- energy relative to the elements (meV/atom) = -307

Structure (CIF):
```
data_Y2Ag3
_cell_length_a 3.678
_cell_length_b 3.678
_cell_length_c 16.864
_cell_angle_alpha 90.00
_cell_angle_beta 90.00
_cell_angle_gamma 90.00
_symmetry_space_group_name_H-M 'I 4/m m m'
_symmetry_Int_Tables_number 139
_symmetry_space_group_name_Hall '-I 4 2'
loop_
_atom_site_label
_atom_site_type_symbol
_atom_site_fract_x
_atom_site_fract_y
_atom_site_fract_z
Y1 Y 0.000 0.000 0.108
Ag1 Ag 0.000 0.000 0.293
Ag2 Ag 0.000 0.000 0.500
```



(8)
Entry from Alexandria: an optimized crystal structure of Y3Ag2 (PBE-GGA).

- energy relative to the lowest polymorph listed for this composition (meV per atom) = 3
- D(E_F) (states/eV per atom) = 0.6975
- energy relative to the elements (meV/atom) = -251

Structure (CIF):
```
data_Y3Ag2
_cell_length_a 3.623
_cell_length_b 3.623
_cell_length_c 19.834
_cell_angle_alpha 90.00
_cell_angle_beta 90.00
_cell_angle_gamma 90.00
_symmetry_space_group_name_H-M 'I 4/m m m'
_symmetry_Int_Tables_number 139
_symmetry_space_group_name_Hall '-I 4 2'
loop_
_atom_site_label
_atom_site_type_symbol
_atom_site_fract_x
_atom_site_fract_y
_atom_site_fract_z
Y1 Y 0.000 0.000 0.000
Y2 Y 0.000 0.000 0.185
Ag1 Ag 0.000 0.000 0.408
```